Density functional theory data (GGA-PBE) for crystalline NaTl2ZnRh at its relaxed geometry.

Computed properties:
calculated volume: 27.29 Å³/atom
E_form: -27 meV per atom
SG: P4/mmm (123)

Cell: 5.265 5.265 4.923 Å, 90.00 90.00 90.00°
Atoms (fractional coordinates):
Na: 0.000 0.000 0.000
Tl: 0.000 0.500 0.500
Tl: 0.500 0.000 0.500
Zn: 0.500 0.500 0.000
Rh: 0.500 0.500 0.500